K2BaBr2 | the Alexandria database | PBE-GGA | relaxed; energy above the most stable polymorph in this dataset = 0.0 meV/atom; space-group type = No. 127; final energy = -27.0 eV per cell
1.0
9.068 0.000 0.000
0.000 9.068 0.000
0.000 0.000 6.708
K Ba Br
4 2 4
direct
0.190 0.310 0.000
0.310 0.810 0.000
0.690 0.190 0.000
0.810 0.690 0.000
0.000 0.000 0.500
0.500 0.500 0.500
0.206 0.294 0.500
0.294 0.794 0.500
0.706 0.206 0.500
0.794 0.706 0.500

***

Li4SnHg3 | the Alexandria database | PBE-GGA | relaxed; energy above the most stable polymorph in this dataset = 0.0 meV/atom; space-group type = No. 123; final energy = -15.5 eV per cell; formation energy = -0.366 eV per atom
1.0
3.384 0.000 0.000
0.000 3.384 0.000
0.000 0.000 13.103
Li Sn Hg
4 1 3
direct
0.000 0.000 0.123
0.000 0.000 0.367
0.000 0.000 0.633
0.000 0.000 0.877
0.500 0.500 0.500
0.500 0.500 0.000
0.500 0.500 0.245
0.500 0.500 0.755

***

FeCo2Se | the Alexandria database | PBE-GGA | relaxed; space-group type = No. 216; final energy = -25.1 eV per cell
1.0
0.000 2.897 2.897
2.897 0.000 2.897
2.897 2.897 0.000
Fe Co Se
1 2 1
direct
0.000 0.000 0.000
0.500 0.500 0.500
0.750 0.750 0.750
0.250 0.250 0.250

***

Nd2PaPd | the Alexandria database | PBE-GGA | relaxed; energy above the most stable polymorph in this dataset = 301.3 meV/atom; space-group type = No. 166; final energy = -23.8 eV per cell; formation energy = 0.113 eV per atom
1.0
1.649 0.952 11.191
-1.649 0.952 11.191
0.000 -1.904 11.191
Nd Pa Pd
2 1 1
direct
0.097 0.097 0.097
0.903 0.903 0.903
0.000 0.000 0.000
0.500 0.500 0.500

***

Pm2NdZr | the Alexandria database | PBE-GGA | relaxed; energy above the most stable polymorph in this dataset = 132.9 meV/atom; space-group type = No. 225; final energy = -21.8 eV per cell; formation energy = 0.249 eV per atom
1.0
0.000 3.954 3.954
3.954 0.000 3.954
3.954 3.954 0.000
Pm Nd Zr
2 1 1
direct
0.250 0.250 0.250
0.750 0.750 0.750
0.000 0.000 0.000
0.500 0.500 0.500

***

Ta2MoPb | the Alexandria database | PBE-GGA | relaxed; space-group type = No. 6; final energy = -36.8 eV per cell; formation energy = 0.362 eV per atom
1.0
2.979 0.000 0.000
0.000 4.693 0.000
-1.040 0.000 5.525
Ta Mo Pb
2 1 1
direct
0.000 0.000 0.000
0.289 0.500 0.759
0.742 0.500 0.202
0.606 0.000 0.487

***

Ti3Zn2Sb | the Alexandria database | PBE-GGA | relaxed; space-group type = No. 65; final energy = -32.0 eV per cell
1.0
2.015 -6.117 0.000
2.015 6.117 0.000
0.000 0.000 4.071
Ti Zn Sb
3 2 1
direct
0.000 0.000 0.000
0.330 0.670 0.000
0.670 0.330 0.000
0.177 0.823 0.500
0.823 0.177 0.500
0.500 0.500 0.500

***

Sr2CaMnRh | the Alexandria database | PBE-GGA | relaxed; space-group type = No. 123; final energy = -17.1 eV per cell; formation energy = 0.956 eV per atom
1.0
6.393 0.000 0.000
0.000 6.393 0.000
0.000 0.000 4.718
Sr Ca Mn Rh
2 1 1 1
direct
0.000 0.500 0.000
0.500 0.000 0.000
0.000 0.000 0.000
0.500 0.500 0.500
0.000 0.000 0.500

***

AlFeIr2 | the Alexandria database | PBE-GGA | relaxed; space-group type = No. 99; final energy = -31.0 eV per cell; formation energy = -0.263 eV per atom
1.0
2.802 0.000 0.000
0.000 2.802 0.000
0.000 0.000 6.904
Al Fe Ir
1 1 2
direct
0.000 0.000 0.000
0.500 0.500 0.237
0.000 0.000 0.475
0.500 0.500 0.758

***

PuNpN2 | the Alexandria database | PBE-GGA | relaxed; space-group type = No. 194; final energy = -97.2 eV per cell
1.0
3.478 0.000 0.000
-1.739 3.012 0.000
0.000 0.000 11.438
Pu Np N
2 2 4
direct
0.333 0.667 0.250
0.667 0.333 0.750
0.000 0.000 0.000
0.000 0.000 0.500
0.333 0.667 0.615
0.333 0.667 0.885
0.667 0.333 0.115
0.667 0.333 0.385

***

Pr2ThSn2 | the Alexandria database | PBE-GGA | relaxed; energy above the most stable polymorph in this dataset = 0.0 meV/atom; space-group type = No. 127; final energy = -56.1 eV per cell; formation energy = -0.612 eV per atom
1.0
8.469 0.000 0.000
0.000 8.469 0.000
0.000 0.000 4.359
Pr Th Sn
4 2 4
direct
0.171 0.329 0.000
0.329 0.829 0.000
0.671 0.171 0.000
0.829 0.671 0.000
0.000 0.000 0.500
0.500 0.500 0.500
0.130 0.630 0.500
0.370 0.130 0.500
0.630 0.870 0.500
0.870 0.370 0.500

***

LaPrDyY | the Alexandria database | PBE-GGA | relaxed; energy above the most stable polymorph in this dataset = 0.0 meV/atom; space-group type = No. 119; final energy = -20.7 eV per cell; formation energy = 0.029 eV per atom
1.0
-2.580 2.580 5.158
2.580 -2.580 5.158
2.580 2.580 -5.158
La Pr Dy Y
1 1 1 1
direct
0.000 0.000 0.000
0.750 0.250 0.500
0.250 0.750 0.500
0.500 0.500 0.000